1.
## CaY (meta-GGA SCAN)

Data for a crystal of CaY relaxed with PBEsol.

The structure in POSCAR format:
```
CaY
1.0
3.637 0.000 0.000
0.000 5.585 0.000
-1.818 0.000 6.870
Y Ca
2 2
direct
0.437 0.250 0.874
0.563 0.750 0.126
0.171 0.250 0.341
0.829 0.750 0.659
```

Results
Crystal system: orthorhombic
Fermi-level density of states, states/eV per atom: 1.424
Total magnetization, μB per cell: 0.97
Energy above the lowest structure with this stoichiometry, meV/atom: 117
ΔH_f (0 K), eV/atom: 0.17
Volume, Å³ per atom: 34.88

=====

2.
## K2ClF (meta-GGA SCAN)

Data for a crystal of K2ClF relaxed with PBEsol.

The structure in POSCAR format:
```
K2ClF
1.0
-0.158 -5.888 -2.994
5.592 1.134 3.332
0.076 -5.110 4.189
K F Cl
4 2 2
direct
0.943 0.818 0.625
0.057 0.432 0.125
0.443 0.625 0.432
0.557 0.125 0.818
0.000 0.500 0.500
0.500 0.750 0.750
0.000 0.000 0.000
0.500 0.250 0.250
```

Results
Crystal system: tetragonal
Fermi-level density of states, states/eV per atom: 0.000
Total magnetization, μB per cell: 0.15
Energy relative to the elements, uncorrected, eV per atom: -2.44
Volume, Å³ per atom: 27.35

=====

3.
## Dy8In3Co (meta-GGA SCAN)

Data for a crystal of Dy8In3Co relaxed with PBEsol.

The structure in POSCAR format:
```
Dy8In3Co
1.0
-1.158 -4.606 -4.926
8.453 3.038 -4.829
0.483 -7.497 6.897
In Dy Co
6 16 2
direct
0.241 0.163 0.326
0.741 0.837 0.674
0.741 0.837 0.163
0.241 0.674 0.837
0.741 0.326 0.163
0.241 0.163 0.837
0.997 0.000 0.000
0.098 0.333 0.667
0.989 0.534 0.069
0.497 0.000 0.000
0.598 0.667 0.333
0.989 0.534 0.466
0.278 0.822 0.644
0.489 0.069 0.534
0.489 0.466 0.931
0.778 0.178 0.822
0.489 0.466 0.534
0.778 0.178 0.356
0.778 0.644 0.822
0.278 0.356 0.178
0.989 0.931 0.466
0.278 0.822 0.178
0.709 0.333 0.667
0.209 0.667 0.333
```

Results
Crystal system: hexagonal
Fermi-level density of states, states/eV per atom: 0.199
Total magnetization, μB per cell: 0.00
ΔH_f (0 K), eV/atom: -0.45
Volume, Å³ per atom: 25.68

=====

4.
## Sc2Br (meta-GGA SCAN)

Data for a crystal of Sc2Br relaxed with PBEsol.

The structure in POSCAR format:
```
Sc2Br
1.0
3.287 0.000 0.000
0.000 3.287 0.000
-1.644 -1.644 6.155
Sc Br
2 1
direct
0.165 0.165 0.330
0.835 0.835 0.670
0.500 0.500 0.000
```

Results
Crystal system: tetragonal
Fermi-level density of states, states/eV per atom: 0.940
Total magnetization, μB per cell: 0.00
Energy above the lowest structure with this stoichiometry, meV/atom: 235
Energy relative to the elements, uncorrected, eV per atom: -0.54
Volume, Å³ per atom: 22.17

=====

5.
## KCd3Ir (meta-GGA SCAN)

Data for a crystal of KCd3Ir relaxed with PBEsol.

The structure in POSCAR format:
```
KCd3Ir
1.0
-4.377 0.223 -2.777
2.630 -1.375 -4.256
-0.919 -4.998 1.047
Ir Cd K
1 3 1
direct
0.000 0.000 0.000
0.000 0.000 0.500
0.500 0.000 0.000
0.000 0.500 0.000
0.500 0.500 0.500
```

Results
Crystal system: cubic
Fermi-level density of states, states/eV per atom: 0.305
Total magnetization, μB per cell: 0.00
ΔH_f (0 K), eV/atom: -0.04
Volume, Å³ per atom: 27.93

=====

6.
## YScTeCl2 (meta-GGA SCAN)

Data for a crystal of YScTeCl2 relaxed with PBEsol.

The structure in POSCAR format:
```
YScTeCl2
1.0
4.663 0.000 0.000
0.000 4.663 0.000
0.000 0.000 6.998
Cl Sc Te Y
2 1 1 1
direct
0.000 0.500 0.000
0.500 0.000 0.000
0.000 0.000 0.000
0.500 0.500 0.500
0.000 0.000 0.500
```

Results
Crystal system: tetragonal
Fermi-level density of states, states/eV per atom: 0.170
Total magnetization, μB per cell: 0.00
Energy relative to the elements, uncorrected, eV per atom: -1.35
Volume, Å³ per atom: 30.43

=====

7.
## HfRu (meta-GGA SCAN)

Data for a crystal of HfRu relaxed with PBEsol.

The structure in POSCAR format:
```
HfRu
1.0
3.200 0.000 0.000
0.000 3.200 0.000
0.000 0.000 3.200
Ru Hf
1 1
direct
0.000 0.000 0.000
0.500 0.500 0.500
```

Results
Crystal system: cubic
Fermi-level density of states, states/eV per atom: 0.175
Total magnetization, μB per cell: 0.00
ΔH_f (0 K), eV/atom: -0.97
Volume, Å³ per atom: 16.38

=====

8.
## Zn2CrSe (meta-GGA SCAN)

Data for a crystal of Zn2CrSe relaxed with PBEsol.

The structure in POSCAR format:
```
Zn2CrSe
1.0
-0.764 0.846 -4.345
-4.214 0.422 -1.499
-1.541 4.025 -1.267
Se Cr Zn
1 1 2
direct
0.750 0.750 0.750
0.500 0.500 0.500
0.250 0.250 0.250
0.000 0.000 0.000
```

Results
Crystal system: cubic
Fermi-level density of states, states/eV per atom: 0.210
Total magnetization, μB per cell: 3.92
Energy relative to the elements, uncorrected, eV per atom: 0.17
Volume, Å³ per atom: 16.03

=====

9.
## Cu3ReF (meta-GGA SCAN)

Data for a crystal of Cu3ReF relaxed with PBEsol.

The structure in POSCAR format:
```
Cu3ReF
1.0
-1.242 -3.852 -2.174
3.514 -2.231 1.945
-2.686 -1.137 3.550
Cu Re F
3 1 1
direct
0.000 0.500 0.000
0.000 0.000 0.500
0.500 0.000 0.000
0.000 0.000 0.000
0.500 0.500 0.500
```

Results
Crystal system: cubic
Fermi-level density of states, states/eV per atom: 0.564
Total magnetization, μB per cell: 0.00
Energy relative to the elements, uncorrected, eV per atom: 1.50
Volume, Å³ per atom: 19.40

=====

10.
## HfCoTeI2 (meta-GGA SCAN)

Data for a crystal of HfCoTeI2 relaxed with PBEsol.

The structure in POSCAR format:
```
HfCoTeI2
1.0
4.934 0.000 0.000
0.000 4.934 0.000
0.000 0.000 5.050
Te I Hf Co
1 2 1 1
direct
0.000 0.000 0.500
0.500 0.000 0.000
0.000 0.500 0.000
0.500 0.500 0.500
0.000 0.000 0.000
```

Results
Crystal system: tetragonal
Fermi-level density of states, states/eV per atom: 0.589
Total magnetization, μB per cell: 0.32
Energy relative to the elements, uncorrected, eV per atom: 0.58
Volume, Å³ per atom: 24.59

=====

11.
## NiPW2 (meta-GGA SCAN)

Data for a crystal of NiPW2 relaxed with PBEsol.

The structure in POSCAR format:
```
NiPW2
1.0
-0.747 -3.074 0.224
1.532 -0.170 2.771
-4.506 1.282 2.570
P W Ni
1 2 1
direct
0.500 0.500 0.748
0.000 0.000 0.977
0.500 0.500 0.284
0.000 0.000 0.491
```

Results
Crystal system: tetragonal
Fermi-level density of states, states/eV per atom: 1.010
Total magnetization, μB per cell: 0.00
ΔH_f (0 K), eV/atom: 0.10
Volume, Å³ per atom: 13.43

=====

12.
## TaBeAg2 (meta-GGA SCAN)

Data for a crystal of TaBeAg2 relaxed with PBEsol.

The structure in POSCAR format:
```
TaBeAg2
1.0
2.744 0.000 0.000
0.000 4.642 0.000
-1.372 -2.321 4.726
Ta Be Ag
1 1 2
direct
0.783 0.283 0.565
0.510 0.510 0.021
0.995 0.995 0.991
0.212 0.712 0.423
```

Results
Crystal system: orthorhombic
Fermi-level density of states, states/eV per atom: 0.280
Total magnetization, μB per cell: 0.00
ΔH_f (0 K), eV/atom: 0.37
Volume, Å³ per atom: 15.05

=====

13.
## SrAg3Pb (meta-GGA SCAN)

Data for a crystal of SrAg3Pb relaxed with PBEsol.

The structure in POSCAR format:
```
SrAg3Pb
1.0
5.453 0.000 0.000
0.000 5.453 0.000
0.000 0.000 5.453
Ag Pb Sr
3 1 1
direct
0.000 0.500 0.000
0.000 0.000 0.500
0.500 0.000 0.000
0.500 0.500 0.500
0.000 0.000 0.000
```

Results
Crystal system: cubic
Fermi-level density of states, states/eV per atom: 0.364
Total magnetization, μB per cell: 0.00
ΔH_f (0 K), eV/atom: 0.94
Volume, Å³ per atom: 32.43

=====

14.
## NaMgTe2Pb (meta-GGA SCAN)

Data for a crystal of NaMgTe2Pb relaxed with PBEsol.

The structure in POSCAR format:
```
NaMgTe2Pb
1.0
-1.762 3.637 -3.400
-4.535 -3.030 -0.891
-2.563 2.622 4.134
Pb Te Mg Na
1 2 1 1
direct
0.500 0.000 0.000
0.000 0.500 0.000
0.000 0.000 0.500
0.500 0.500 0.500
0.000 0.000 0.000
```

Results
Crystal system: tetragonal
Fermi-level density of states, states/eV per atom: 0.776
Total magnetization, μB per cell: 0.00
Energy relative to the elements, uncorrected, eV per atom: 0.35
Volume, Å³ per atom: 32.25

=====

15.
## AgMoPRh2 (meta-GGA SCAN)

Data for a crystal of AgMoPRh2 relaxed with PBEsol.

The structure in POSCAR format:
```
AgMoPRh2
1.0
-2.769 -3.122 1.037
2.764 -2.943 -1.479
1.834 -0.294 4.014
Ag Rh Mo P
1 2 1 1
direct
0.500 0.500 0.500
0.000 0.500 0.000
0.500 0.000 0.000
0.000 0.000 0.500
0.000 0.000 0.000
```

Results
Crystal system: tetragonal
Fermi-level density of states, states/eV per atom: 0.799
Total magnetization, μB per cell: 0.00
ΔH_f (0 K), eV/atom: 0.32
Volume, Å³ per atom: 16.36

=====

16.
## BaTcRh2 (meta-GGA SCAN)

Data for a crystal of BaTcRh2 relaxed with PBEsol.

The structure in POSCAR format:
```
BaTcRh2
1.0
4.633 0.000 0.000
2.317 4.013 0.000
2.317 1.338 3.783
Rh Ba Tc
2 1 1
direct
0.000 0.000 0.000
0.750 0.750 0.750
0.500 0.500 0.500
0.250 0.250 0.250
```

Results
Crystal system: cubic
Fermi-level density of states, states/eV per atom: 0.939
Total magnetization, μB per cell: 0.00
ΔH_f (0 K), eV/atom: 0.95
Volume, Å³ per atom: 17.58

=====

17.
## TlTe3Br (meta-GGA SCAN)

Data for a crystal of TlTe3Br relaxed with PBEsol.

The structure in POSCAR format:
```
TlTe3Br
1.0
5.558 0.000 0.000
0.000 5.558 0.000
0.000 0.000 5.558
Br Te Tl
1 3 1
direct
0.000 0.000 0.000
0.000 0.500 0.000
0.500 0.000 0.000
0.000 0.000 0.500
0.500 0.500 0.500
```

Results
Crystal system: cubic
Fermi-level density of states, states/eV per atom: 0.700
Total magnetization, μB per cell: 0.00
Energy relative to the elements, uncorrected, eV per atom: 0.49
Volume, Å³ per atom: 34.35

=====

18.
## LiTaZn2 (meta-GGA SCAN)

Data for a crystal of LiTaZn2 relaxed with PBEsol.

The structure in POSCAR format:
```
LiTaZn2
1.0
-0.888 -1.807 -1.741
3.266 0.537 -2.225
2.618 -4.048 2.866
Zn Ta Li
2 1 1
direct
0.000 0.000 0.000
0.500 0.500 0.266
0.500 0.500 0.762
0.000 0.000 0.472
```

Results
Crystal system: orthorhombic
Fermi-level density of states, states/eV per atom: 0.412
Total magnetization, μB per cell: 0.00
Energy above the lowest structure with this stoichiometry, meV/atom: 263
ΔH_f (0 K), eV/atom: 0.15
Volume, Å³ per atom: 14.88

=====

19.
## LiTeI2 (meta-GGA SCAN)

Data for a crystal of LiTeI2 relaxed with PBEsol.

The structure in POSCAR format:
```
LiTeI2
1.0
6.819 -0.092 0.000
-2.591 6.308 0.000
-2.114 -3.108 5.690
Li I Te
2 4 2
direct
0.750 0.250 0.500
0.500 0.500 0.000
0.125 0.584 0.959
0.834 0.875 0.459
0.416 0.375 0.541
0.625 0.166 0.041
0.000 0.000 0.000
0.250 0.750 0.500
```

Results
Crystal system: tetragonal
Fermi-level density of states, states/eV per atom: 0.720
Total magnetization, μB per cell: 0.00
Energy relative to the elements, uncorrected, eV per atom: -0.23
Volume, Å³ per atom: 30.43

=====

20.
## ZrTa2Cl (meta-GGA SCAN)

Data for a crystal of ZrTa2Cl relaxed with PBEsol.

The structure in POSCAR format:
```
ZrTa2Cl
1.0
-0.727 2.390 1.785
2.016 -2.517 4.191
3.376 1.905 -3.816
Ta Zr Cl
2 1 1
direct
0.741 0.241 0.481
0.973 0.973 0.946
0.527 0.527 0.053
0.260 0.760 0.519
```

Results
Crystal system: orthorhombic
Fermi-level density of states, states/eV per atom: 0.835
Total magnetization, μB per cell: 0.00
Energy above the lowest structure with this stoichiometry, meV/atom: 526
Energy relative to the elements, uncorrected, eV per atom: 0.38
Volume, Å³ per atom: 18.26